Here is an optimized crystal structure of Ac4Co2Br from the Alexandria database. Energies are from PBE.

Properties
Raw formation energy = -442 meV per atom
Symmetry = No. 166
Magnetic moment = 0.00 Bohr magnetons per cell

Lattice parameters (Å, degrees): 4.237 4.237 15.257 82.02 82.02 60.00
Element x y z (fractional)
Ac1 0.125 0.125 0.625
Ac2 0.277 0.277 0.170
Ac3 0.723 0.723 0.830
Ac4 0.875 0.875 0.375
Co1 0.425 0.425 0.725
Co2 0.575 0.575 0.275
Br1 0.000 0.000 0.000